w.
VASP calculation (PBE) on a relaxed MgIBrN2 crystal.

Structure (POSCAR):
```
MgIBrN2
1.0
-1.8209 3.5251 1.1584
1.1443 -0.6940 3.9106
5.9953 3.4710 -1.1383
N Mg I Br
2 1 1 1
direct
0.5000 0.0000 0.0000 N
0.0000 0.5000 0.0000 N
0.5000 0.5000 0.5000 Mg
0.0000 0.0000 0.5000 I
0.0000 0.0000 0.0000 Br
```

Summary:
Space group ... P4/mmm

x.
VASP calculation (PBE) on a relaxed MgIBrN2 crystal.

Structure (POSCAR):
```
MgIBrN2
1.0
-0.4096 -2.7968 3.3075
-1.1120 -3.9798 -3.5029
4.2384 -0.9438 -0.2732
Br N I Mg
1 2 1 1
direct
0.0000 0.0000 0.0000 Br
0.5000 0.0000 0.0000 N
0.0000 0.0000 0.5000 N
0.5000 0.5000 0.5000 I
0.0000 0.5000 0.0000 Mg
```

Summary:
Space group ... P4/mmm

Comparing the structures above, x comes out on top by 87 meV/atom.